Pm4Ge2Se: optimized geometry, PBE.

Cell lengths 7.8228, 7.8228, 7.8228 Å; angles 109.52, 109.38, 109.52 degrees
Last column: nearest neighbours and their distance in Å.
Atoms (fractional coordinates):
Pm1 0.1259 0.8850 0.3803  4 Ge 2.95-3.30, 1 Se 2.97
Pm2 0.1303 0.3850 0.3759  4 Ge 2.95-3.30, 1 Se 2.97
Pm3 0.6197 0.7456 0.5048  4 Ge 2.95-3.30, 1 Se 2.97
Pm4 0.2548 0.2456 0.8697  4 Ge 2.95-3.30, 1 Se 2.97
Pm5 0.7591 0.2544 0.8741  4 Ge 2.95-3.30, 1 Se 2.97
Pm6 0.6241 0.7544 0.0091  4 Ge 2.95-3.30, 1 Se 2.97
Pm7 0.4952 0.1150 0.2409  4 Ge 2.95-3.30, 1 Se 2.97
Pm8 0.9909 0.6150 0.7452  4 Ge 2.95-3.30, 1 Se 2.97
Ge1 0.2487 0.6237 0.1250  8 Pm 2.95-3.30
Ge2 0.3750 0.8763 0.7513  8 Pm 2.95-3.30
Ge3 0.8750 0.1237 0.4987  8 Pm 2.95-3.30
Ge4 0.5013 0.3763 0.6250  8 Pm 2.95-3.30
Se1 0.0000 0.0000 0.0000  4 Pm 2.97
Se2 0.7500 0.5000 0.2500  4 Pm 2.97

Values from the calculation:
**Formation energy from raw total energies**: -1.061 eV/atom
**Energy**: -78.30 eV for the cell shown



TbMg3Pd2: optimized geometry, PBE.

Cell lengths 4.0611, 8.6248, 9.0436 Å; angles 123.39, 90.00, 103.62 degrees
Last column: nearest neighbours and their distance in Å.
Atoms (fractional coordinates):
Tb1 0.8717 0.7434 0.8809  6 Pd 2.96-3.09, 1 Mg 3.30
Tb2 0.1283 0.2566 0.1191  6 Pd 2.96-3.09, 1 Mg 3.30
Mg1 0.3259 0.6517 0.5315  3 Pd 2.69-2.73
Mg2 0.6741 0.3483 0.4685  3 Pd 2.69-2.73
Mg3 0.0138 0.0276 0.3558  3 Pd 2.67-2.97, 1 Mg 2.89
Mg4 0.6629 0.3259 0.8458  3 Pd 2.75
Mg5 0.9862 0.9724 0.6442  3 Pd 2.67-2.97, 1 Mg 2.89
Mg6 0.3371 0.6741 0.1542  3 Pd 2.75
Pd1 0.5000 0.0001 0.1514  4 Mg 2.67-2.75, 1 Pd 2.74, 2 Tb 2.96
Pd2 0.7920 0.5841 0.3002  5 Mg 2.73-2.97, 2 Tb 3.04
Pd3 0.5000 0.9999 0.8486  4 Mg 2.67-2.75, 1 Pd 2.74, 2 Tb 2.96
Pd4 0.2080 0.4159 0.6998  5 Mg 2.73-2.97, 2 Tb 3.04

Values from the calculation:
**ΔE_f**: -3.3 eV per formula unit
**Energy**: -46.20 eV for the cell shown



YSi2Se: optimized geometry, PBE.

Cell lengths 8.1245, 8.1245, 8.1245 Å; angles 25.00, 25.00, 25.00 degrees
Last column: nearest neighbours and their distance in Å.
Atoms (fractional coordinates):
Si1 0.0121 0.0121 0.0121  3 Se 2.64
Si2 0.4879 0.4879 0.4879  3 Se 2.64
Y1 0.2500 0.2500 0.2500  6 Si 3.03
Se1 0.7500 0.7500 0.7500  6 Si 2.64

Values from the calculation:
**Formation energy from raw total energies**: 0.084 eV/atom
**Energy**: -20.46 eV for the cell shown



BaTcO2F: optimized geometry, PBE.

Cell lengths 4.0324, 4.0324, 4.5040 Å; angles 90.00, 90.00, 90.00 degrees
Last column: nearest neighbours and their distance in Å.
Atoms (fractional coordinates):
Ba1 0.5000 0.5000 0.5000  4 F 2.85, 8 O 3.02
O1 0.0000 0.5000 0.0000  2 Tc 2.02
O2 0.5000 0.0000 0.0000  2 Tc 2.02
F1 0.0000 0.0000 0.5000  2 Tc 2.25
Tc1 0.0000 0.0000 0.0000  4 O 2.02, 2 F 2.25

Values from the calculation:
**Formation energy from raw total energies**: -1.995 eV/atom
**Energy**: -34.05 eV for the cell shown



TbHo3Mg12: optimized geometry, PBE.

Cell lengths 4.6211, 4.6211, 18.9557 Å; angles 90.00, 90.00, 90.00 degrees
Last column: nearest neighbours and their distance in Å.
Atoms (fractional coordinates):
Mg1 0.5000 0.5000 0.0000  4 Tb 3.27, 8 Mg 3.32
Mg2 0.5000 0.0000 0.3754  8 Mg 3.27-3.30, 4 Ho 3.30-3.31
Mg3 0.5000 0.5000 0.5000  4 Ho 3.27, 8 Mg 3.30
Mg4 0.5000 0.0000 0.8743  8 Mg 3.27-3.32, 2 Ho 3.31, 2 Tb 3.32
Mg5 0.5000 0.5000 0.2510  4 Ho 3.27, 8 Mg 3.30-3.31
Mg6 0.5000 0.0000 0.1257  8 Mg 3.27-3.32, 2 Ho 3.31, 2 Tb 3.32
Mg7 0.0000 0.5000 0.8743  8 Mg 3.27-3.32, 2 Ho 3.31, 2 Tb 3.32
Mg8 0.0000 0.5000 0.6246  8 Mg 3.27-3.30, 4 Ho 3.30-3.31
Mg9 0.0000 0.5000 0.1257  8 Mg 3.27-3.32, 2 Ho 3.31, 2 Tb 3.32
Mg10 0.5000 0.5000 0.7490  4 Ho 3.27, 8 Mg 3.30-3.31
Mg11 0.5000 0.0000 0.6246  8 Mg 3.27-3.30, 4 Ho 3.30-3.31
Mg12 0.0000 0.5000 0.3754  8 Mg 3.27-3.30, 4 Ho 3.30-3.31
Tb1 0.0000 0.0000 0.0000  12 Mg 3.27-3.32
Ho1 0.0000 0.0000 0.5000  12 Mg 3.27-3.30
Ho2 0.0000 0.0000 0.2507  12 Mg 3.27-3.31
Ho3 0.0000 0.0000 0.7493  12 Mg 3.27-3.31

Values from the calculation:
**ΔE_f**: -0.9 eV per formula unit
**Energy**: -38.41 eV for the cell shown



CsZn2Ag2: optimized geometry, PBE.

Cell lengths 8.6894, 8.6894, 3.1263 Å; angles 90.00, 90.00, 90.00 degrees
Last column: nearest neighbours and their distance in Å.
Atoms (fractional coordinates):
Cs1 0.0000 0.0000 0.0000  2 Cs 3.13
Cs2 0.5000 0.5000 0.0000  2 Cs 3.13
Ag1 0.3346 0.1654 0.5000  6 Zn 2.91-3.15, 2 Ag 3.13
Ag2 0.1654 0.6654 0.5000  6 Zn 2.91-3.15, 2 Ag 3.13
Ag3 0.6654 0.8346 0.5000  6 Zn 2.91-3.15, 2 Ag 3.13
Ag4 0.8346 0.3346 0.5000  6 Zn 2.91-3.15, 2 Ag 3.13
Zn1 0.8880 0.6120 0.0000  1 Zn 2.75, 4 Ag 2.91
Zn2 0.6120 0.1120 0.0000  1 Zn 2.75, 4 Ag 2.91
Zn3 0.1120 0.3880 0.0000  1 Zn 2.75, 4 Ag 2.91
Zn4 0.3880 0.8880 0.0000  1 Zn 2.75, 4 Ag 2.91

Values from the calculation:
**ΔE_f**: 1.0 eV per formula unit
**Energy**: -16.16 eV for the cell shown



K2MgH8S2O12: optimized geometry, PBE.

Cell lengths 9.6190, 11.8558, 12.1243 Å; angles 114.08, 113.37, 90.00 degrees
Last column: nearest neighbours and their distance in Å.
Atoms (fractional coordinates):
O1 0.1817 0.9602 0.1148  1 S 1.51, 1 H 1.69
O2 0.6807 0.4649 0.1204  1 S 1.51, 1 H 1.66
O3 0.1444 0.9053 0.6069  1 S 1.50
O4 0.6762 0.3461 0.5471  1 S 1.49
O5 0.0849 0.4662 0.3566  2 H 0.99-1.00
O6 0.7784 0.6066 0.0577  1 S 1.49
O7 0.2717 0.9662 0.3566  2 H 0.99-1.00
O8 0.2103 0.8814 0.9062  1 S 1.47
O9 0.7283 0.0338 0.6434  2 H 0.99-1.00
O10 0.2793 0.1066 0.0577  1 S 1.49
O11 0.3238 0.6539 0.4529  1 S 1.49
O12 0.7897 0.1186 0.0938  1 S 1.47
O13 0.5603 0.0351 0.8796  1 S 1.51, 1 H 1.66
O14 0.0669 0.5398 0.8852  1 S 1.51, 1 H 1.69
O15 0.2281 0.5243 0.6376  2 H 0.99-1.00
O16 0.4397 0.9649 0.1204  1 S 1.51, 1 H 1.66
O17 0.7207 0.8934 0.9423  1 S 1.49
O18 0.8546 0.8679 0.2090  2 H 0.99
O19 0.4705 0.2500 0.0000  2 H 1.00
O20 0.5905 0.9757 0.3624  2 H 0.99-1.00
O21 0.1291 0.1539 0.4529  1 S 1.49
O22 0.0350 0.2446 0.6228  1 S 1.48
O23 0.6959 0.3814 0.9062  1 S 1.47
O24 0.4784 0.8023 0.4372  1 S 1.50
O25 0.7719 0.4757 0.3624  2 H 0.99-1.00
O26 0.3193 0.5351 0.8796  1 S 1.51, 1 H 1.66
O27 0.9685 0.7500 0.0000  2 H 1.00
O28 0.6456 0.6321 0.7910  2 H 0.99
O29 0.9331 0.4602 0.1148  1 S 1.51, 1 H 1.69
O30 0.3041 0.6186 0.0938  1 S 1.47
O31 0.8183 0.0398 0.8852  1 S 1.51, 1 H 1.69
O32 0.4625 0.4053 0.6069  1 S 1.50
O33 0.9151 0.5338 0.6434  2 H 0.99-1.00
O34 0.5295 0.7500 0.0000  2 H 1.00
O35 0.5216 0.1977 0.5628  1 S 1.50
O36 0.1454 0.1321 0.7910  2 H 0.99
O37 0.8556 0.0947 0.3931  1 S 1.50
O38 0.9650 0.7554 0.3772  1 S 1.48
O39 0.4095 0.0243 0.6376  2 H 0.99-1.00
O40 0.2216 0.3934 0.9423  1 S 1.49
O41 0.0315 0.2500 0.0000  2 H 1.00
O42 0.5878 0.7446 0.6228  1 S 1.48
O43 0.8709 0.8461 0.5471  1 S 1.49
O44 0.5375 0.5947 0.3931  1 S 1.50
O45 0.0412 0.6977 0.5628  1 S 1.50
O46 0.9588 0.3023 0.4372  1 S 1.50
O47 0.3544 0.3679 0.2090  2 H 0.99
O48 0.4122 0.2554 0.3772  1 S 1.48
H1 0.5103 0.1737 0.9595  1 O 1.00
H2 0.4897 0.8263 0.0405  1 O 1.00
H3 0.0495 0.8261 0.0407  1 O 1.00
H4 0.2121 0.0273 0.3933  1 O 0.99
H5 0.5921 0.5425 0.7354  1 O 0.99
H6 0.7001 0.5255 0.3927  1 O 0.99
H7 0.1812 0.5273 0.3933  1 O 0.99
H8 0.2999 0.4745 0.6073  1 O 0.99
H9 0.7879 0.9727 0.6067  1 O 0.99
H10 0.7487 0.0330 0.7307  1 O 1.00
H11 0.8968 0.8325 0.2742  1 O 0.99
H12 0.2502 0.5255 0.7262  1 O 1.00
H13 0.2513 0.9670 0.2693  1 O 1.00
H14 0.9505 0.1739 0.9593  1 O 1.00
H15 0.0088 0.6739 0.9593  1 O 1.00
H16 0.1433 0.0425 0.7354  1 O 0.99
H17 0.7498 0.4745 0.2738  1 O 1.00
H18 0.3074 0.9745 0.6073  1 O 0.99
H19 0.6926 0.0255 0.3927  1 O 0.99
H20 0.0180 0.4670 0.2693  1 O 1.00
H21 0.1032 0.1675 0.7258  1 O 0.99
H22 0.9912 0.3261 0.0407  1 O 1.00
H23 0.5240 0.9745 0.2738  1 O 1.00
H24 0.5508 0.3263 0.0405  1 O 1.00
H25 0.4492 0.6737 0.9595  1 O 1.00
H26 0.4760 0.0255 0.7262  1 O 1.00
H27 0.4079 0.4575 0.2646  1 O 0.99
H28 0.3774 0.3325 0.2742  1 O 0.99
H29 0.8567 0.9575 0.2646  1 O 0.99
H30 0.9820 0.5330 0.7307  1 O 1.00
H31 0.6226 0.6675 0.7258  1 O 0.99
H32 0.8188 0.4727 0.6067  1 O 0.99
K1 0.3648 0.7885 0.7461  8 O 2.78-3.10, 2 H 2.91-3.11
K2 0.3813 0.2885 0.7461  8 O 2.78-3.10, 2 H 2.91-3.11
K3 0.6187 0.7115 0.2539  8 O 2.78-3.10, 2 H 2.91-3.11
K4 0.8999 0.7986 0.7626  6 O 2.72-2.98, 2 H 2.87-2.97
K5 0.8626 0.2986 0.7626  6 O 2.72-2.98, 2 H 2.87-2.97
K6 0.1001 0.2014 0.2374  6 O 2.72-2.98, 2 H 2.87-2.97
K7 0.1374 0.7014 0.2374  6 O 2.72-2.98, 2 H 2.87-2.97
K8 0.6352 0.2115 0.2539  8 O 2.78-3.10, 2 H 2.91-3.11
S1 0.9951 0.1986 0.4783  4 O 1.48-1.50
S2 0.7705 0.4771 0.0471  4 O 1.47-1.51
S3 0.0049 0.8014 0.5217  4 O 1.48-1.50
S4 0.2766 0.9771 0.0471  4 O 1.47-1.51
S5 0.5168 0.3014 0.5217  4 O 1.48-1.50
S6 0.2295 0.5229 0.9529  4 O 1.47-1.51
S7 0.7234 0.0229 0.9529  4 O 1.47-1.51
S8 0.4832 0.6986 0.4783  4 O 1.48-1.50
Mg1 0.5000 0.0000 0.5000  6 O 2.09-2.13
Mg2 0.0000 0.5000 0.5000  6 O 2.09-2.13
Mg3 0.2517 0.2500 0.0000  6 O 2.07-2.12
Mg4 0.7483 0.7500 0.0000  6 O 2.07-2.12

Values from the calculation:
**Energy**: -545.31 eV for the cell shown



YEr4Pd5: optimized geometry, PBE.

Cell lengths 3.4575, 3.4575, 17.7326 Å; angles 90.00, 90.00, 90.00 degrees
Last column: nearest neighbours and their distance in Å.
Atoms (fractional coordinates):
Er1 0.0000 0.0000 0.4006  8 Pd 3.01-3.02
Er2 0.0000 0.0000 0.7985  8 Pd 2.99-3.02
Er3 0.0000 0.0000 0.5994  8 Pd 3.01-3.02
Er4 0.0000 0.0000 0.2015  8 Pd 2.99-3.02
Pd1 0.5000 0.5000 0.5000  8 Er 3.01
Pd2 0.5000 0.5000 0.8959  4 Er 2.99, 4 Y 3.06
Pd3 0.5000 0.5000 0.1041  4 Er 2.99, 4 Y 3.06
Pd4 0.5000 0.5000 0.3011  8 Er 3.02
Pd5 0.5000 0.5000 0.6989  8 Er 3.02
Y1 0.0000 0.0000 0.0000  8 Pd 3.06

Values from the calculation:
**ΔE_f**: -9.1 eV per formula unit
**Energy**: -59.74 eV for the cell shown



TbTm2Mg6: optimized geometry, PBE.

Cell lengths 3.2632, 9.0384, 9.0384 Å; angles 59.99, 90.00, 90.00 degrees
Last column: nearest neighbours and their distance in Å.
Atoms (fractional coordinates):
Mg1 0.5000 0.3354 0.6646  5 Mg 2.98-3.26
Mg2 0.4992 0.0000 0.6646  5 Mg 2.98-3.26
Mg3 0.5008 0.0000 0.3354  5 Mg 2.98-3.26
Mg4 0.5008 0.3354 0.0000  5 Mg 2.98-3.26
Mg5 0.4992 0.6646 0.0000  5 Mg 2.98-3.26
Mg6 0.5000 0.6646 0.3354  5 Mg 2.98-3.26
Tm1 0.0000 0.6667 0.6667  2 Tm 3.26, 12 Mg 3.42
Tm2 0.0000 0.3333 0.3333  2 Tm 3.26, 12 Mg 3.42
Tb1 0.0000 0.0000 0.0000  2 Tb 3.26, 12 Mg 3.44

Values from the calculation:
**ΔE_f**: -0.5 eV per formula unit
**Energy**: -23.68 eV for the cell shown



CaSi: optimized geometry, PBE.

Cell lengths 10.1273, 10.1273, 3.8977 Å; angles 90.00, 90.00, 120.00 degrees
Last column: nearest neighbours and their distance in Å.
Atoms (fractional coordinates):
Si1 0.4604 0.9207 0.2500  2 Si 2.39
Si2 0.4604 0.5396 0.2500  2 Si 2.39
Si3 0.0793 0.5396 0.2500  2 Si 2.39
Si4 0.9207 0.4604 0.7500  2 Si 2.39
Si5 0.5396 0.4604 0.7500  2 Si 2.39
Si6 0.5396 0.0793 0.7500  2 Si 2.39
Ca1 0.3913 0.1957 0.2500  6 Si 3.04-3.19
Ca2 0.6087 0.8043 0.7500  6 Si 3.04-3.19
Ca3 0.8043 0.6087 0.2500  6 Si 3.04-3.19
Ca4 0.8043 0.1957 0.2500  6 Si 3.04-3.19
Ca5 0.1957 0.8043 0.7500  6 Si 3.04-3.19
Ca6 0.1957 0.3913 0.7500  6 Si 3.04-3.19

Values from the calculation:
**Formation energy from raw total energies**: -0.248 eV/atom
**Energy**: -47.53 eV for the cell shown



MnGaCl2: optimized geometry, PBE.

Cell lengths 8.1132, 8.1132, 6.2601 Å; angles 49.61, 49.61, 90.00 degrees
Last column: nearest neighbours and their distance in Å.
Atoms (fractional coordinates):
Mn1 0.2500 0.7500 0.5000  4 Cl 2.29, 2 Ga 2.51
Mn2 0.5000 0.5000 0.0000  4 Cl 2.29, 2 Ga 2.51
Cl1 0.8750 0.7305 0.7500  2 Mn 2.29
Cl2 0.3750 0.5195 0.7500  2 Mn 2.29
Cl3 0.4805 0.1250 0.2500  2 Mn 2.29
Cl4 0.2695 0.6250 0.2500  2 Mn 2.29
Ga1 0.0000 0.0000 0.0000  2 Mn 2.51
Ga2 0.7500 0.2500 0.5000  2 Mn 2.51

Values from the calculation:
**Formation energy from raw total energies**: -0.130 eV/atom
**Energy**: -32.82 eV for the cell shown



YBe2Pb: optimized geometry, PBE.

Cell lengths 4.1705, 3.5430, 5.4213 Å; angles 90.02, 90.00, 90.00 degrees
Last column: nearest neighbours and their distance in Å.
Atoms (fractional coordinates):
Be1 0.0000 0.2507 0.9500  1 Be 2.17
Be2 0.0000 0.2493 0.5500  1 Be 2.17
Y1 0.5000 0.7500 0.7500  8 Be 2.94, 4 Pb 3.24
Pb1 0.5000 0.2500 0.2500  4 Be 2.64

Values from the calculation:
**ΔE_f**: 0.8 eV per formula unit
**Energy**: -16.82 eV for the cell shown



Please write out number 11 again, unchanged.
MnGaCl2: optimized geometry, PBE.

Cell lengths 8.1132, 8.1132, 6.2601 Å; angles 49.61, 49.61, 90.00 degrees
Last column: nearest neighbours and their distance in Å.
Atoms (fractional coordinates):
Mn1 0.2500 0.7500 0.5000  4 Cl 2.29, 2 Ga 2.51
Mn2 0.5000 0.5000 0.0000  4 Cl 2.29, 2 Ga 2.51
Cl1 0.8750 0.7305 0.7500  2 Mn 2.29
Cl2 0.3750 0.5195 0.7500  2 Mn 2.29
Cl3 0.4805 0.1250 0.2500  2 Mn 2.29
Cl4 0.2695 0.6250 0.2500  2 Mn 2.29
Ga1 0.0000 0.0000 0.0000  2 Mn 2.51
Ga2 0.7500 0.2500 0.5000  2 Mn 2.51

Values from the calculation:
**Formation energy from raw total energies**: -0.130 eV/atom
**Energy**: -32.82 eV for the cell shown



Q: energy of number 2 (TbMg3Pd2)?
A: -46.20 eV for the cell shown



What did the eleventh record say?
MnGaCl2: optimized geometry, PBE.

Cell lengths 8.1132, 8.1132, 6.2601 Å; angles 49.61, 49.61, 90.00 degrees
Last column: nearest neighbours and their distance in Å.
Atoms (fractional coordinates):
Mn1 0.2500 0.7500 0.5000  4 Cl 2.29, 2 Ga 2.51
Mn2 0.5000 0.5000 0.0000  4 Cl 2.29, 2 Ga 2.51
Cl1 0.8750 0.7305 0.7500  2 Mn 2.29
Cl2 0.3750 0.5195 0.7500  2 Mn 2.29
Cl3 0.4805 0.1250 0.2500  2 Mn 2.29
Cl4 0.2695 0.6250 0.2500  2 Mn 2.29
Ga1 0.0000 0.0000 0.0000  2 Mn 2.51
Ga2 0.7500 0.2500 0.5000  2 Mn 2.51

Values from the calculation:
**Formation energy from raw total energies**: -0.130 eV/atom
**Energy**: -32.82 eV for the cell shown